## a
{"formula": "Ba2ReAuO6", "functional": "PBE-GGA", "state": "optimized geometry", "cell": [[-4.915, -0.841, 2.955], [2.699, -4.974, -1.661], [4.602, 2.245, 2.933]], "species": ["O", "O", "O", "Re", "O", "O", "Au", "O", "Ba", "Ba"], "fractional_positions": [[0.462, 0.142, 0.222], [0.078, 0.835, 0.340], [0.567, 0.317, 0.720], [0.500, 0.000, 0.500], [0.922, 0.165, 0.660], [0.538, 0.858, 0.778], [0.500, 0.500, 0.000], [0.433, 0.683, 0.280], [0.001, 0.253, 0.253], [0.999, 0.747, 0.747]], "m_tot_mub_per_atom": 0.0000}

## b
{"formula": "Ba2ReAuO6", "functional": "PBE-GGA", "state": "optimized geometry", "cell": [[3.051, 1.761, 4.707], [-3.051, 1.761, 4.707], [0.000, -3.523, 4.707]], "species": ["Re", "O", "Ba", "O", "Ba", "O", "O", "Au", "O", "O"], "fractional_positions": [[0.501, 0.501, 0.501], [0.206, 0.351, 0.694], [0.758, 0.758, 0.758], [0.282, 0.781, 0.655], [0.255, 0.255, 0.255], [0.694, 0.206, 0.351], [0.351, 0.694, 0.206], [0.021, 0.021, 0.021], [0.781, 0.655, 0.282], [0.655, 0.282, 0.781]], "m_tot_mub_per_atom": 0.0000}

Most stable of them? a.